a:
# KTmTl2

A relaxed structure of KTmTl2 (PBE-GGA, the Alexandria database).

Cell and atoms, written as CIF:
```
data_KTmTl2
_cell_length_a 3.7099
_cell_length_b 3.7099
_cell_length_c 32.6321
_cell_angle_alpha 90.00
_cell_angle_beta 90.00
_cell_angle_gamma 120.00
_symmetry_space_group_name_H-M 'R 3 m'
_symmetry_Int_Tables_number 160
_symmetry_space_group_name_Hall 'R 3 -2"'
loop_
_atom_site_label
_atom_site_fract_x
_atom_site_fract_y
_atom_site_fract_z
K1 0.0000 0.0000 0.0000
Tm1 0.0000 0.0000 0.8327
Tl1 0.0000 0.0000 0.2420
Tl2 0.0000 0.0000 0.4238
```

***

b:
# KTmTl2

A relaxed structure of KTmTl2 (PBE-GGA, the Alexandria database).

Cell and atoms, written as CIF:
```
data_KTmTl2
_cell_length_a 3.825
_cell_length_b 3.825
_cell_length_c 8.643
_cell_angle_alpha 90.00
_cell_angle_beta 90.00
_cell_angle_gamma 90.00
_symmetry_space_group_name_H-M 'P 4/m m m'
_symmetry_Int_Tables_number 123
_symmetry_space_group_name_Hall '-P 4 2'
loop_
_atom_site_label
_atom_site_fract_x
_atom_site_fract_y
_atom_site_fract_z
K1 0.000 0.000 0.000
Tm1 0.000 0.000 0.500
Tl1 0.500 0.500 0.293
```

***

c:
# KTmTl2

A relaxed structure of KTmTl2 (PBE-GGA, the Alexandria database).

Cell and atoms, written as CIF:
```
data_KTmTl2
_cell_length_a 3.7022
_cell_length_b 3.7022
_cell_length_c 32.5821
_cell_angle_alpha 90.00
_cell_angle_beta 90.00
_cell_angle_gamma 120.00
_symmetry_space_group_name_H-M 'R -3 m'
_symmetry_Int_Tables_number 166
_symmetry_space_group_name_Hall '-R 3 2"'
loop_
_atom_site_label
_atom_site_fract_x
_atom_site_fract_y
_atom_site_fract_z
K1 0.0000 0.0000 0.0000
Tm1 0.0000 0.0000 0.5000
Tl1 0.0000 0.0000 0.2427
```

***

Energy comparison, zero being the most stable, in eV/atom: a 0.144; b 0.000; c 0.137.

***

a:
# KTlV3

A relaxed structure of KTlV3 (PBE-GGA, the Alexandria database).

Cell and atoms, written as CIF:
```
data_KTlV3
_cell_length_a 4.401
_cell_length_b 4.401
_cell_length_c 4.401
_cell_angle_alpha 90.00
_cell_angle_beta 90.00
_cell_angle_gamma 90.00
_symmetry_space_group_name_H-M 'P m -3 m'
_symmetry_Int_Tables_number 221
_symmetry_space_group_name_Hall '-P 4 2 3'
loop_
_atom_site_label
_atom_site_fract_x
_atom_site_fract_y
_atom_site_fract_z
K1 0.000 0.000 0.000
Tl1 0.500 0.500 0.500
V1 0.000 0.000 0.500
```

***

b:
# KTlV3

A relaxed structure of KTlV3 (PBE-GGA, the Alexandria database).

Cell and atoms, written as CIF:
```
data_KTlV3
_cell_length_a 5.361
_cell_length_b 5.361
_cell_length_c 5.361
_cell_angle_alpha 90.00
_cell_angle_beta 90.00
_cell_angle_gamma 90.00
_symmetry_space_group_name_H-M 'P m -3 m'
_symmetry_Int_Tables_number 221
_symmetry_space_group_name_Hall '-P 4 2 3'
loop_
_atom_site_label
_atom_site_fract_x
_atom_site_fract_y
_atom_site_fract_z
K1 0.000 0.000 0.000
Tl1 0.500 0.500 0.500
V1 0.000 0.500 0.500
```

***

Energy comparison, zero being the most stable, in eV/atom: a 0.799; b 0.000.

***

a:
# K2TlV

A relaxed structure of K2TlV (PBE-GGA, the Alexandria database).

Cell and atoms, written as CIF:
```
data_K2TlV
_cell_length_a 8.415
_cell_length_b 8.415
_cell_length_c 8.415
_cell_angle_alpha 90.00
_cell_angle_beta 90.00
_cell_angle_gamma 90.00
_symmetry_space_group_name_H-M 'F m -3 m'
_symmetry_Int_Tables_number 225
_symmetry_space_group_name_Hall '-F 4 2 3'
loop_
_atom_site_label
_atom_site_fract_x
_atom_site_fract_y
_atom_site_fract_z
K1 0.250 0.250 0.250
Tl1 0.000 0.000 0.000
V1 0.000 0.000 0.500
```

***

b:
# K2TlV

A relaxed structure of K2TlV (PBE-GGA, the Alexandria database).

Cell and atoms, written as CIF:
```
data_K2TlV
_cell_length_a 9.672
_cell_length_b 9.672
_cell_length_c 6.154
_cell_angle_alpha 90.00
_cell_angle_beta 90.00
_cell_angle_gamma 90.00
_symmetry_space_group_name_H-M 'I -4 2 d'
_symmetry_Int_Tables_number 122
_symmetry_space_group_name_Hall 'I -4 2bw'
loop_
_atom_site_label
_atom_site_fract_x
_atom_site_fract_y
_atom_site_fract_z
K1 0.244 0.750 0.125
Tl1 0.000 0.000 0.500
V1 0.000 0.000 0.000
```

***

Energy comparison, zero being the most stable, in eV/atom: a 0.033; b 0.000.

***

a:
# KTlW3

A relaxed structure of KTlW3 (PBE-GGA, the Alexandria database).

Cell and atoms, written as CIF:
```
data_KTlW3
_cell_length_a 4.640
_cell_length_b 4.640
_cell_length_c 4.640
_cell_angle_alpha 90.00
_cell_angle_beta 90.00
_cell_angle_gamma 90.00
_symmetry_space_group_name_H-M 'P m -3 m'
_symmetry_Int_Tables_number 221
_symmetry_space_group_name_Hall '-P 4 2 3'
loop_
_atom_site_label
_atom_site_fract_x
_atom_site_fract_y
_atom_site_fract_z
K1 0.000 0.000 0.000
Tl1 0.500 0.500 0.500
W1 0.000 0.000 0.500
```

***

b:
# KTlW3

A relaxed structure of KTlW3 (PBE-GGA, the Alexandria database).

Cell and atoms, written as CIF:
```
data_KTlW3
_cell_length_a 5.143
_cell_length_b 5.143
_cell_length_c 5.143
_cell_angle_alpha 90.00
_cell_angle_beta 90.00
_cell_angle_gamma 90.00
_symmetry_space_group_name_H-M 'P m -3 m'
_symmetry_Int_Tables_number 221
_symmetry_space_group_name_Hall '-P 4 2 3'
loop_
_atom_site_label
_atom_site_fract_x
_atom_site_fract_y
_atom_site_fract_z
K1 0.000 0.000 0.000
Tl1 0.500 0.500 0.500
W1 0.000 0.500 0.500
```

***

Energy comparison, zero being the most stable, in eV/atom: a 0.417; b 0.000.